Below is K2Bi after structural relaxation, with properties calculated at the PBE level.

Lattice parameters (Å, degrees): 4.6572 4.6572 6.6330 110.55 110.55 90.00
Closest atoms and distances in Å follow each position.
Sites, in units of the cell vectors:
Bi 0.0000 0.0000 0.0000  10 K 3.74-3.98
K 0.3454 0.3454 0.6908  5 K 3.56-3.96, 5 Bi 3.74-3.98
K 0.6546 0.6546 0.3092  5 K 3.56-3.96, 5 Bi 3.74-3.98

Output
Formation energy from the elements, eV per formula unit: -0.79
Energy above the most stable polymorph in this dataset, meV/atom: 42

Below is ScOs2Br after structural relaxation, with properties calculated at the PBE level.

Lattice parameters (Å, degrees): 5.5053 5.5053 5.5053 147.72 129.96 60.81
Closest atoms and distances in Å follow each position.
Sites, in units of the cell vectors:
Os 0.0015 0.0015 0.0000  2 Os 2.62, 2 Br 2.75, 4 Sc 2.79
Os 0.2252 0.7252 0.5000  2 Os 2.62, 4 Br 2.81
Br 0.7614 0.2614 0.5000  6 Os 2.75-2.81, 2 Sc 2.82, 2 Br 3.06
Sc 0.5120 0.5120 0.0000  6 Os 2.79-3.09, 2 Br 2.82, 2 Sc 3.06

Output
Energy above the most stable polymorph in this dataset, meV/atom: 645

Below is USi2Au2 after structural relaxation, with properties calculated at the PBE level.

Lattice parameters (Å, degrees): 4.1709 4.1709 8.9060 103.54 103.54 90.00
Closest atoms and distances in Å follow each position.
Sites, in units of the cell vectors:
Au 0.2500 0.7500 0.5000  4 Si 2.51
Au 0.7500 0.2500 0.5000  4 Si 2.51
Si 0.8330 0.8330 0.6660  4 Au 2.51, 1 U 2.81
Si 0.1670 0.1670 0.3340  4 Au 2.51, 1 U 2.81
U 0.0000 0.0000 0.0000  2 Si 2.81

Output
Energy above the most stable polymorph in this dataset, meV/atom: 1004

Below is Ca2AcGa6 after structural relaxation, with properties calculated at the PBE level.

Lattice parameters (Å, degrees): 4.5504 7.4880 7.4880 120.00 90.00 90.00
Closest atoms and distances in Å follow each position.
Sites, in units of the cell vectors:
Ga 0.5000 0.0000 0.3359  3 Ga 2.46-2.52
Ga 0.5000 0.0000 0.6641  3 Ga 2.46-2.52
Ga 0.5000 0.6641 0.0000  3 Ga 2.46-2.52
Ga 0.5000 0.6641 0.6641  3 Ga 2.46-2.52
Ga 0.5000 0.3359 0.3359  3 Ga 2.46-2.52
Ga 0.5000 0.3359 0.0000  3 Ga 2.46-2.52
Ca 0.0000 0.3333 0.6667  12 Ga 3.37
Ca 0.0000 0.6667 0.3333  12 Ga 3.37
Ac 0.0000 0.0000 0.0000  12 Ga 3.39

Output
Formation energy from the elements, eV per formula unit: -4.74
Energy above the most stable polymorph in this dataset, meV/atom: 0

Below is Sc2SeBr after structural relaxation, with properties calculated at the PBE level.

Lattice parameters (Å, degrees): 5.0468 5.0468 5.0468 60.00 60.00 60.00
Closest atoms and distances in Å follow each position.
Sites, in units of the cell vectors:
Sc 0.2500 0.2500 0.2500  4 Br 3.09, 4 Sc 3.09
Sc 0.0000 0.0000 0.0000  4 Sc 3.09, 4 Se 3.09
Se 0.7500 0.7500 0.7500  4 Sc 3.09, 4 Br 3.09
Br 0.5000 0.5000 0.5000  4 Se 3.09, 4 Sc 3.09

Output
Energy above the most stable polymorph in this dataset, meV/atom: 963

Below is BaCrTe after structural relaxation, with properties calculated at the PBE level.

Lattice parameters (Å, degrees): 5.2283 5.2283 5.2283 60.00 60.00 60.00
Closest atoms and distances in Å follow each position.
Sites, in units of the cell vectors:
Cr 0.7500 0.7500 0.7500  4 Ba 3.20, 4 Te 3.20
Te 0.0000 0.0000 0.0000  4 Cr 3.20
Ba 0.5000 0.5000 0.5000  4 Cr 3.20

Output
Energy above the most stable polymorph in this dataset, meV/atom: 324